*i*
First-principles (PBE) data for a relaxed structure of NbSnH, as listed in Alexandria via LeMat-Bulk. Values from VASP.

Its spin magnetization is 0.00 μB per atom. Its space group is Amm2, No. 38.

Geometry as Quantum ESPRESSO input:
```
&SYSTEM
  ibrav = 0, nat = 3, ntyp = 3
/
ATOMIC_SPECIES
Nb 92.91 Nb.upf
Sn 118.71 Sn.upf
H 1.01 H.upf
CELL_PARAMETERS angstrom
2.956 0.000 0.000
0.000 1.713 4.586
0.000 -1.713 4.586
ATOMIC_POSITIONS crystal
Nb 0.000 0.000 0.000
Sn 0.500 0.284 0.284
H 0.000 0.590 0.590
```

---

*ii*
First-principles (PBE) data for a relaxed structure of NbSnH, as listed in Alexandria via LeMat-Bulk. Values from VASP.

Its spin magnetization is 0.00 μB per atom. Its space group is P3m1, No. 156.

Geometry as Quantum ESPRESSO input:
```
&SYSTEM
  ibrav = 0, nat = 3, ntyp = 3
/
ATOMIC_SPECIES
Nb 92.91 Nb.upf
Sn 118.71 Sn.upf
H 1.01 H.upf
CELL_PARAMETERS angstrom
3.506 0.000 0.000
-1.753 3.037 0.000
0.000 0.000 4.112
ATOMIC_POSITIONS crystal
Nb 0.000 0.000 0.000
Sn 0.667 0.333 0.500
H 0.333 0.667 0.002
```

---

Bottom line: *ii*, by a margin of 0.134 eV/atom.

---

*i*
First-principles (PBE) data for a relaxed structure of NbSnH2, as listed in Alexandria via LeMat-Bulk. Values from VASP.

Its spin magnetization is 0.00 μB per atom. Its space group is R3m, No. 160.

Geometry as Quantum ESPRESSO input:
```
&SYSTEM
  ibrav = 0, nat = 4, ntyp = 3
/
ATOMIC_SPECIES
Nb 92.91 Nb.upf
Sn 118.71 Sn.upf
H 1.01 H.upf
CELL_PARAMETERS angstrom
1.646 0.950 5.243
-1.646 0.950 5.243
0.000 -1.901 5.243
ATOMIC_POSITIONS crystal
Nb 0.000 0.000 0.000
Sn 0.188 0.188 0.188
H 0.378 0.378 0.378
H 0.692 0.692 0.692
```

---

*ii*
First-principles (PBE) data for a relaxed structure of NbSnH2, as listed in Alexandria via LeMat-Bulk. Values from VASP.

Its spin magnetization is 0.00 μB per atom. Its space group is I-42d, No. 122.

Geometry as Quantum ESPRESSO input:
```
&SYSTEM
  ibrav = 0, nat = 8, ntyp = 3
/
ATOMIC_SPECIES
Nb 92.91 Nb.upf
Sn 118.71 Sn.upf
H 1.01 H.upf
CELL_PARAMETERS angstrom
-2.955 2.955 2.881
2.955 -2.955 2.881
2.955 2.955 -2.881
ATOMIC_POSITIONS crystal
Nb 0.000 0.000 0.000
Nb 0.750 0.250 0.500
Sn 0.250 0.750 0.500
Sn 0.500 0.500 0.000
H 0.029 0.125 0.404
H 0.375 0.971 0.096
H 0.721 0.625 0.596
H 0.875 0.279 0.904
```

---

Bottom line: *i*, by a margin of 0.178 eV/atom.

---

*i*
First-principles (PBE) data for a relaxed structure of Nb3SnH3, as listed in Alexandria via LeMat-Bulk. Values from VASP.

Its spin magnetization is 0.00 μB per atom. Its space group is Pm-3n, No. 223.

Geometry as Quantum ESPRESSO input:
```
&SYSTEM
  ibrav = 0, nat = 14, ntyp = 3
/
ATOMIC_SPECIES
Nb 92.91 Nb.upf
Sn 118.71 Sn.upf
H 1.01 H.upf
CELL_PARAMETERS angstrom
5.520 0.000 0.000
0.000 5.520 0.000
0.000 0.000 5.520
ATOMIC_POSITIONS crystal
Nb 0.000 0.250 0.500
Nb 0.000 0.750 0.500
Nb 0.250 0.500 0.000
Nb 0.500 0.000 0.250
Nb 0.500 0.000 0.750
Nb 0.750 0.500 0.000
Sn 0.000 0.000 0.000
Sn 0.500 0.500 0.500
H 0.000 0.500 0.250
H 0.000 0.500 0.750
H 0.250 0.000 0.500
H 0.500 0.250 0.000
H 0.500 0.750 0.000
H 0.750 0.000 0.500
```

---

*ii*
First-principles (PBE) data for a relaxed structure of Nb3SnH3, as listed in Alexandria via LeMat-Bulk. Values from VASP.

Its spin magnetization is 0.00 μB per atom. Its space group is R-3, No. 148.

Geometry as Quantum ESPRESSO input:
```
&SYSTEM
  ibrav = 0, nat = 14, ntyp = 3
/
ATOMIC_SPECIES
Nb 92.91 Nb.upf
Sn 118.71 Sn.upf
H 1.01 H.upf
CELL_PARAMETERS angstrom
2.700 1.559 7.314
-2.700 1.559 7.314
0.000 -3.118 7.314
ATOMIC_POSITIONS crystal
Nb 0.082 0.384 0.720
Nb 0.280 0.918 0.616
Nb 0.384 0.720 0.082
Nb 0.616 0.280 0.918
Nb 0.720 0.082 0.384
Nb 0.918 0.616 0.280
Sn 0.169 0.169 0.169
Sn 0.831 0.831 0.831
H 0.015 0.699 0.371
H 0.301 0.629 0.985
H 0.371 0.015 0.699
H 0.629 0.985 0.301
H 0.699 0.371 0.015
H 0.985 0.301 0.629
```

---

Bottom line: *i*, by a margin of 0.209 eV/atom.

---

*i*
First-principles (PBE) data for a relaxed structure of NbSn2H, as listed in Alexandria via LeMat-Bulk. Values from VASP.

Its spin magnetization is 0.00 μB per atom. Its space group is I-42d, No. 122.

Geometry as Quantum ESPRESSO input:
```
&SYSTEM
  ibrav = 0, nat = 8, ntyp = 3
/
ATOMIC_SPECIES
Nb 92.91 Nb.upf
Sn 118.71 Sn.upf
H 1.01 H.upf
CELL_PARAMETERS angstrom
-3.275 3.275 3.282
3.275 -3.275 3.282
3.275 3.275 -3.282
ATOMIC_POSITIONS crystal
Nb 0.000 0.000 0.000
Nb 0.750 0.250 0.500
Sn 0.213 0.625 0.088
Sn 0.375 0.463 0.588
Sn 0.537 0.125 0.912
Sn 0.875 0.787 0.412
H 0.250 0.750 0.500
H 0.500 0.500 0.000
```

---

*ii*
First-principles (PBE) data for a relaxed structure of NbSn2H, as listed in Alexandria via LeMat-Bulk. Values from VASP.

Its spin magnetization is 0.07 μB per atom. Its space group is Fm-3m, No. 225.

Geometry as Quantum ESPRESSO input:
```
&SYSTEM
  ibrav = 0, nat = 4, ntyp = 3
/
ATOMIC_SPECIES
Nb 92.91 Nb.upf
Sn 118.71 Sn.upf
H 1.01 H.upf
CELL_PARAMETERS angstrom
0.000 3.383 3.383
3.383 0.000 3.383
3.383 3.383 0.000
ATOMIC_POSITIONS crystal
Nb 0.000 0.000 0.000
Sn 0.250 0.250 0.250
Sn 0.750 0.750 0.750
H 0.500 0.500 0.500
```

---

Bottom line: *i*, by a margin of 0.476 eV/atom.

---

*i*
First-principles (PBE) data for a relaxed structure of NbSnH3, as listed in Alexandria via LeMat-Bulk. Values from VASP.

Its spin magnetization is 0.00 μB per atom. Its space group is Pm-3m, No. 221.

Geometry as Quantum ESPRESSO input:
```
&SYSTEM
  ibrav = 0, nat = 5, ntyp = 3
/
ATOMIC_SPECIES
Nb 92.91 Nb.upf
Sn 118.71 Sn.upf
H 1.01 H.upf
CELL_PARAMETERS angstrom
3.753 0.000 0.000
0.000 3.753 0.000
0.000 0.000 3.753
ATOMIC_POSITIONS crystal
Nb 0.000 0.000 0.000
Sn 0.500 0.500 0.500
H 0.000 0.000 0.500
H 0.000 0.500 0.000
H 0.500 0.000 0.000
```

---

*ii*
First-principles (PBE) data for a relaxed structure of NbSnH3, as listed in Alexandria via LeMat-Bulk. Values from VASP.

Its spin magnetization is 0.00 μB per atom. Its space group is Pm-3m, No. 221.

Geometry as Quantum ESPRESSO input:
```
&SYSTEM
  ibrav = 0, nat = 5, ntyp = 3
/
ATOMIC_SPECIES
Nb 92.91 Nb.upf
Sn 118.71 Sn.upf
H 1.01 H.upf
CELL_PARAMETERS angstrom
3.807 0.000 0.000
0.000 3.807 0.000
0.000 0.000 3.807
ATOMIC_POSITIONS crystal
Nb 0.000 0.000 0.000
Sn 0.500 0.500 0.500
H 0.000 0.500 0.500
H 0.500 0.000 0.500
H 0.500 0.500 0.000
```

---

Bottom line: *i*, by a margin of 0.882 eV/atom.

---

*i*
First-principles (PBE) data for a relaxed structure of SrNbH, as listed in Alexandria via LeMat-Bulk. Values from VASP.

Its spin magnetization is 1.31 μB per atom. Its space group is P6_3/mmc, No. 194.

Geometry as Quantum ESPRESSO input:
```
&SYSTEM
  ibrav = 0, nat = 6, ntyp = 3
/
ATOMIC_SPECIES
Sr 87.62 Sr.upf
Nb 92.91 Nb.upf
H 1.01 H.upf
CELL_PARAMETERS angstrom
5.364 0.000 0.000
-2.682 4.645 0.000
0.000 0.000 6.471
ATOMIC_POSITIONS crystal
Sr 0.333 0.667 0.250
Sr 0.667 0.333 0.750
Nb 0.333 0.667 0.750
Nb 0.667 0.333 0.250
H 0.000 0.000 0.000
H 0.000 0.000 0.500
```

---

*ii*
First-principles (PBE) data for a relaxed structure of SrNbH, as listed in Alexandria via LeMat-Bulk. Values from VASP.

Its spin magnetization is 0.02 μB per atom. Its space group is Cm, No. 8.

Geometry as Quantum ESPRESSO input:
```
&SYSTEM
  ibrav = 0, nat = 6, ntyp = 3
/
ATOMIC_SPECIES
Sr 87.62 Sr.upf
Nb 92.91 Nb.upf
H 1.01 H.upf
CELL_PARAMETERS angstrom
6.044 -1.886 0.000
6.044 1.886 0.000
-2.656 0.000 5.363
ATOMIC_POSITIONS crystal
Sr 0.000 0.000 0.000
Sr 0.204 0.204 0.699
Nb 0.438 0.438 0.430
Nb 0.770 0.770 0.266
H 0.600 0.600 0.345
H 0.934 0.934 0.538
```

---

Bottom line: *ii*, by a margin of 1.650 eV/atom.

---

*i*
First-principles (PBE) data for a relaxed structure of SrNbH, as listed in Alexandria via LeMat-Bulk. Values from VASP.

Its spin magnetization is 0.00 μB per atom. Its space group is Cm, No. 8.

Geometry as Quantum ESPRESSO input:
```
&SYSTEM
  ibrav = 0, nat = 6, ntyp = 3
/
ATOMIC_SPECIES
Sr 87.62 Sr.upf
Nb 92.91 Nb.upf
H 1.01 H.upf
CELL_PARAMETERS angstrom
3.531 -5.329 0.000
3.531 5.329 0.000
-0.435 0.000 3.293
ATOMIC_POSITIONS crystal
Sr 0.198 0.802 0.000
Sr 0.802 0.198 0.000
Nb 0.358 0.358 0.602
Nb 0.641 0.641 0.318
H 0.093 0.438 0.555
H 0.438 0.093 0.555
```

---

*ii*
First-principles (PBE) data for a relaxed structure of SrNbH, as listed in Alexandria via LeMat-Bulk. Values from VASP.

Its spin magnetization is 0.00 μB per atom. Its space group is Pm, No. 6.

Geometry as Quantum ESPRESSO input:
```
&SYSTEM
  ibrav = 0, nat = 6, ntyp = 3
/
ATOMIC_SPECIES
Sr 87.62 Sr.upf
Nb 92.91 Nb.upf
H 1.01 H.upf
CELL_PARAMETERS angstrom
3.517 0.000 0.000
0.000 3.748 0.000
-0.360 0.000 9.736
ATOMIC_POSITIONS crystal
Sr 0.000 0.000 0.000
Sr 0.473 0.500 0.629
Nb 0.007 0.000 0.383
Nb 0.542 0.500 0.255
H 0.014 0.500 0.147
H 0.878 0.500 0.426
```

---

Bottom line: *ii*, by a margin of 0.078 eV/atom.

---

*i*
First-principles (PBE) data for a relaxed structure of SrNbH, as listed in Alexandria via LeMat-Bulk. Values from VASP.

Its spin magnetization is 0.00 μB per atom. Its space group is P4/nmm, No. 129.

Geometry as Quantum ESPRESSO input:
```
&SYSTEM
  ibrav = 0, nat = 6, ntyp = 3
/
ATOMIC_SPECIES
Sr 87.62 Sr.upf
Nb 92.91 Nb.upf
H 1.01 H.upf
CELL_PARAMETERS angstrom
4.412 0.000 0.000
0.000 4.412 0.000
0.000 0.000 5.797
ATOMIC_POSITIONS crystal
Sr 0.250 0.750 0.000
Sr 0.750 0.250 0.000
Nb 0.250 0.250 0.477
Nb 0.750 0.750 0.523
H 0.250 0.250 0.152
H 0.750 0.750 0.848
```

---

*ii*
First-principles (PBE) data for a relaxed structure of SrNbH, as listed in Alexandria via LeMat-Bulk. Values from VASP.

Its spin magnetization is 1.94 μB per atom. Its space group is F-43m, No. 216.

Geometry as Quantum ESPRESSO input:
```
&SYSTEM
  ibrav = 0, nat = 3, ntyp = 3
/
ATOMIC_SPECIES
Sr 87.62 Sr.upf
Nb 92.91 Nb.upf
H 1.01 H.upf
CELL_PARAMETERS angstrom
0.000 3.652 3.652
3.652 0.000 3.652
3.652 3.652 0.000
ATOMIC_POSITIONS crystal
Sr 0.000 0.000 0.000
Nb 0.250 0.250 0.250
H 0.750 0.750 0.750
```

---

Bottom line: *i*, by a margin of 1.498 eV/atom.

---

*i*
First-principles (PBE) data for a relaxed structure of SrNbH, as listed in Alexandria via LeMat-Bulk. Values from VASP.

Its spin magnetization is 0.00 μB per atom. Its space group is Pm, No. 6.

Geometry as Quantum ESPRESSO input:
```
&SYSTEM
  ibrav = 0, nat = 6, ntyp = 3
/
ATOMIC_SPECIES
Sr 87.62 Sr.upf
Nb 92.91 Nb.upf
H 1.01 H.upf
CELL_PARAMETERS angstrom
3.714 0.000 0.000
0.000 3.639 0.000
-0.389 0.000 9.754
ATOMIC_POSITIONS crystal
Sr 0.000 0.000 0.000
Sr 0.471 0.500 0.616
Nb 0.447 0.500 0.266
Nb 0.934 0.000 0.365
H 0.599 0.000 0.197
H 0.960 0.000 0.567
```

---

*ii*
First-principles (PBE) data for a relaxed structure of SrNbH, as listed in Alexandria via LeMat-Bulk. Values from VASP.

Its spin magnetization is 1.87 μB per atom. Its space group is F-43m, No. 216.

Geometry as Quantum ESPRESSO input:
```
&SYSTEM
  ibrav = 0, nat = 3, ntyp = 3
/
ATOMIC_SPECIES
Sr 87.62 Sr.upf
Nb 92.91 Nb.upf
H 1.01 H.upf
CELL_PARAMETERS angstrom
0.000 3.615 3.615
3.615 0.000 3.615
3.615 3.615 0.000
ATOMIC_POSITIONS crystal
Sr 0.000 0.000 0.000
Nb 0.250 0.250 0.250
H 0.500 0.500 0.500
```

---

Bottom line: *i*, by a margin of 1.870 eV/atom.

---

*i*
First-principles (PBE) data for a relaxed structure of SrNbH, as listed in Alexandria via LeMat-Bulk. Values from VASP.

Its spin magnetization is 0.00 μB per atom. Its space group is P1, No. 1.

Geometry as Quantum ESPRESSO input:
```
&SYSTEM
  ibrav = 0, nat = 6, ntyp = 3
/
ATOMIC_SPECIES
Sr 87.62 Sr.upf
Nb 92.91 Nb.upf
H 1.01 H.upf
CELL_PARAMETERS angstrom
3.451 0.000 0.000
-0.009 6.291 0.000
-1.709 -2.769 5.786
ATOMIC_POSITIONS crystal
Sr 0.000 0.000 0.000
Sr 0.191 0.643 0.384
Nb 0.413 0.447 0.825
Nb 0.762 0.207 0.526
H 0.397 0.731 0.793
H 0.634 0.304 0.269
```

---

*ii*
First-principles (PBE) data for a relaxed structure of SrNbH, as listed in Alexandria via LeMat-Bulk. Values from VASP.

Its spin magnetization is 0.00 μB per atom. Its space group is Cm, No. 8.

Geometry as Quantum ESPRESSO input:
```
&SYSTEM
  ibrav = 0, nat = 6, ntyp = 3
/
ATOMIC_SPECIES
Sr 87.62 Sr.upf
Nb 92.91 Nb.upf
H 1.01 H.upf
CELL_PARAMETERS angstrom
6.316 -1.746 0.000
6.316 1.746 0.000
-2.598 0.000 5.622
ATOMIC_POSITIONS crystal
Sr 0.000 0.000 0.000
Sr 0.197 0.197 0.643
Nb 0.420 0.420 0.438
Nb 0.770 0.770 0.199
H 0.638 0.638 0.300
H 0.792 0.792 0.915
```

---

Bottom line: *ii*, by a margin of 0.007 eV/atom.

---

*i*
First-principles (PBE) data for a relaxed structure of SrNbH, as listed in Alexandria via LeMat-Bulk. Values from VASP.

Its spin magnetization is 0.00 μB per atom. Its space group is Cmmm, No. 65.

Geometry as Quantum ESPRESSO input:
```
&SYSTEM
  ibrav = 0, nat = 6, ntyp = 3
/
ATOMIC_SPECIES
Sr 87.62 Sr.upf
Nb 92.91 Nb.upf
H 1.01 H.upf
CELL_PARAMETERS angstrom
3.742 -4.732 0.000
3.742 4.732 0.000
0.000 0.000 3.557
ATOMIC_POSITIONS crystal
Sr 0.198 0.802 0.000
Sr 0.802 0.198 0.000
Nb 0.345 0.345 0.500
Nb 0.655 0.655 0.500
H 0.238 0.238 0.000
H 0.762 0.762 0.000
```

---

*ii*
First-principles (PBE) data for a relaxed structure of SrNbH, as listed in Alexandria via LeMat-Bulk. Values from VASP.

Its spin magnetization is 0.00 μB per atom. Its space group is Pnma, No. 62.

Geometry as Quantum ESPRESSO input:
```
&SYSTEM
  ibrav = 0, nat = 12, ntyp = 3
/
ATOMIC_SPECIES
Sr 87.62 Sr.upf
Nb 92.91 Nb.upf
H 1.01 H.upf
CELL_PARAMETERS angstrom
19.136 0.000 0.000
0.000 3.524 0.000
0.000 0.000 4.166
ATOMIC_POSITIONS crystal
Sr 0.090 0.250 0.249
Sr 0.410 0.750 0.749
Sr 0.590 0.250 0.251
Sr 0.910 0.750 0.751
Nb 0.232 0.250 0.748
Nb 0.268 0.750 0.248
Nb 0.732 0.250 0.752
Nb 0.768 0.750 0.252
H 0.219 0.250 0.248
H 0.281 0.750 0.748
H 0.719 0.250 0.252
H 0.781 0.750 0.752
```

---

Bottom line: *ii*, by a margin of 0.029 eV/atom.

---

*i*
First-principles (PBE) data for a relaxed structure of SrNbH, as listed in Alexandria via LeMat-Bulk. Values from VASP.

Its spin magnetization is 0.00 μB per atom. Its space group is Pm, No. 6.

Geometry as Quantum ESPRESSO input:
```
&SYSTEM
  ibrav = 0, nat = 6, ntyp = 3
/
ATOMIC_SPECIES
Sr 87.62 Sr.upf
Nb 92.91 Nb.upf
H 1.01 H.upf
CELL_PARAMETERS angstrom
3.681 0.000 0.000
0.000 3.707 0.000
-0.001 0.000 9.727
ATOMIC_POSITIONS crystal
Sr 0.000 0.000 0.000
Sr 0.496 0.500 0.385
Nb 0.015 0.000 0.643
Nb 0.520 0.500 0.746
H 0.005 0.000 0.440
H 0.880 0.500 0.597
```

---

*ii*
First-principles (PBE) data for a relaxed structure of SrNbH, as listed in Alexandria via LeMat-Bulk. Values from VASP.

Its spin magnetization is 0.00 μB per atom. Its space group is C2/m, No. 12.

Geometry as Quantum ESPRESSO input:
```
&SYSTEM
  ibrav = 0, nat = 6, ntyp = 3
/
ATOMIC_SPECIES
Sr 87.62 Sr.upf
Nb 92.91 Nb.upf
H 1.01 H.upf
CELL_PARAMETERS angstrom
2.567 -2.567 0.000
2.567 2.567 0.000
-0.041 0.000 9.764
ATOMIC_POSITIONS crystal
Sr 0.247 0.247 0.198
Sr 0.753 0.753 0.802
Nb 0.250 0.250 0.549
Nb 0.750 0.750 0.451
H 0.252 0.252 0.754
H 0.748 0.748 0.246
```

---

Bottom line: *ii*, by a margin of 0.121 eV/atom.